A plane-wave DFT calculation with GGA-PBE was carried out for a relaxed Ba2ZnOs crystal.

The structure in POSCAR format:
```
Ba2ZnOs
1.0
0.000 3.743 3.743
3.743 0.000 3.743
3.743 3.743 0.000
Ba Zn Os
2 1 1
Direct
0.000 0.000 0.000
0.250 0.250 0.250
0.750 0.750 0.750
0.500 0.500 0.500
```

* energy: -3.3730 eV per atom
* magnetization: 0.0 μB/cell
* SG: F-43m (216)
* crystal system: cubic



A plane-wave DFT calculation with GGA-PBE was carried out for a relaxed BaZnOs2 crystal.

The structure in POSCAR format:
```
BaZnOs2
1.0
0.000 3.391 3.391
3.391 0.000 3.391
3.391 3.391 0.000
Ba Zn Os
1 1 2
Direct
0.000 0.000 0.000
0.250 0.250 0.250
0.500 0.500 0.500
0.750 0.750 0.750
```

* energy: -5.1856 eV per atom
* magnetization: 0.0 μB/cell
* SG: F-43m (216)
* crystal system: cubic



A plane-wave DFT calculation with GGA-PBE was carried out for a relaxed Ba2PPd5 crystal.

The structure in POSCAR format:
```
Ba2PPd5
1.0
-2.994 2.994 5.186
2.994 -2.994 5.186
2.994 2.994 -5.186
Ba P Pd
2 1 5
Direct
0.000 0.500 0.500
0.500 0.000 0.500
0.171 0.171 0.000
0.510 0.510 0.524
0.510 0.986 0.000
0.937 0.937 0.000
0.986 0.510 0.000
0.986 0.986 0.476
```

* energy: -5.0343 eV per atom
* SG: I4mm (107)
* crystal system: tetragonal



A plane-wave DFT calculation with GGA-PBE was carried out for a relaxed BaPPd crystal.

The structure in POSCAR format:
```
BaPPd
1.0
4.654 0.000 0.000
0.000 4.654 0.000
0.000 0.000 7.571
Ba P Pd
2 2 2
Direct
0.250 0.250 0.197
0.750 0.750 0.803
0.250 0.750 0.500
0.750 0.250 0.500
0.250 0.250 0.623
0.750 0.750 0.377
```

* energy: -4.7710 eV per atom
* SG: P4/nmm (129)
* crystal system: tetragonal



A plane-wave DFT calculation with GGA-PBE was carried out for a relaxed BaP2Pd2 crystal.

The structure in POSCAR format:
```
BaP2Pd2
1.0
4.102 0.000 0.000
-2.051 3.553 0.000
0.000 0.000 7.429
Ba P Pd
1 2 2
Direct
0.000 0.000 0.000
0.333 0.667 0.299
0.667 0.333 0.701
0.333 0.667 0.619
0.667 0.333 0.381
```

* energy: -5.3150 eV per atom
* SG: P-3m1 (164)
* crystal system: trigonal



A plane-wave DFT calculation with GGA-PBE was carried out for a relaxed BaP2Pd2 crystal.

The structure in POSCAR format:
```
BaP2Pd2
1.0
4.432 0.000 0.000
0.000 4.432 0.000
0.000 0.000 10.059
Ba P Pd
2 4 4
Direct
0.250 0.250 0.245
0.750 0.750 0.755
0.250 0.250 0.624
0.250 0.750 0.000
0.750 0.250 0.000
0.750 0.750 0.376
0.250 0.250 0.891
0.250 0.750 0.500
0.750 0.250 0.500
0.750 0.750 0.109
```

* energy: -5.3546 eV per atom
* SG: P4/nmm (129)
* crystal system: tetragonal



A plane-wave DFT calculation with GGA-PBE was carried out for a relaxed BaP3Pd2 crystal.

The structure in POSCAR format:
```
BaP3Pd2
1.0
8.560 0.000 0.000
0.000 5.831 0.000
-3.460 0.000 11.097
Ba P Pd
4 12 8
Direct
0.240 0.075 0.352
0.240 0.425 0.852
0.760 0.575 0.148
0.760 0.925 0.648
0.069 0.117 0.572
0.069 0.383 0.072
0.276 0.608 0.581
0.276 0.892 0.081
0.452 0.161 0.173
0.452 0.339 0.673
0.548 0.661 0.327
0.548 0.839 0.827
0.724 0.108 0.919
0.724 0.392 0.419
0.931 0.617 0.928
0.931 0.883 0.428
0.000 0.000 0.000
0.000 0.500 0.500
0.336 0.524 0.164
0.336 0.976 0.664
0.500 0.000 0.000
0.500 0.500 0.500
0.664 0.024 0.336
0.664 0.476 0.836
```

* energy: -5.5037 eV per atom
* SG: P2_1/c (14)
* crystal system: monoclinic



A plane-wave DFT calculation with GGA-PBE was carried out for a relaxed BaSnPPd2 crystal.

The structure in POSCAR format:
```
BaSnPPd2
1.0
4.519 0.000 0.000
0.000 4.519 0.000
0.000 0.000 10.762
Ba Sn P Pd
2 2 2 4
Direct
0.250 0.250 0.230
0.750 0.750 0.770
0.250 0.750 0.500
0.750 0.250 0.500
0.250 0.250 0.886
0.750 0.750 0.114
0.250 0.250 0.656
0.250 0.750 0.000
0.750 0.250 0.000
0.750 0.750 0.344
```

* energy: -5.0642 eV per atom
* SG: P4/nmm (129)
* crystal system: tetragonal



- Number 1 is which compound?
  Ba2ZnOs